1.
Material: Dy7Y4Sc
Method: DFT, GGA-PBE
State: optimized geometry

Computed properties:
Excess energy over the best structure of this formula in the dataset ... 0.039 eV/atom
Energy relative to the elements ... 0.282 eV per atom
Magnetization ... 0.0510 μB per atom

Lattice parameters (Å, degrees): 6.6076 6.6076 12.6851 114.51 114.51 52.21
Atoms (fractional coordinates):
Dy1 0.0000 0.0000 0.0000
Dy2 0.2190 0.2190 0.9256
Dy3 0.2712 0.2712 0.6978
Dy4 0.3614 0.3614 0.4935
Dy5 0.6386 0.6386 0.5065
Dy6 0.7288 0.7288 0.3022
Dy7 0.7810 0.7810 0.0744
Y1 0.0496 0.0496 0.3314
Y2 0.3635 0.3635 0.2240
Y3 0.6365 0.6365 0.7760
Y4 0.9504 0.9504 0.6686
Sc1 0.5000 0.5000 0.0000

---

2.
Material: LiTb2Zn
Method: DFT, GGA-PBE
State: optimized geometry

Computed properties:
Excess energy over the best structure of this formula in the dataset ... 0.007 eV/atom
Energy relative to the elements ... -0.117 eV per atom
Magnetization ... 0.0001 μB per atom

Lattice parameters (Å, degrees): 5.1215 5.1215 5.1215 60.00 60.00 60.00
Atoms (fractional coordinates):
Li1 0.0000 0.0000 0.0000
Tb1 0.2500 0.2500 0.2500
Tb2 0.7500 0.7500 0.7500
Zn1 0.5000 0.5000 0.5000

---

3.
Material: Pr3IrAu2
Method: DFT, GGA-PBE
State: optimized geometry

Computed properties:
Energy relative to the elements ... -0.670 eV per atom
Magnetization ... 0.0000 μB per atom

Lattice parameters (Å, degrees): 12.5546 4.5818 11.1839 90.00 90.00 90.00
Atoms (fractional coordinates):
Pr1 0.0503 0.2500 0.1231
Pr2 0.1094 0.7500 0.5564
Pr3 0.2439 0.2500 0.7905
Pr4 0.2561 0.7500 0.2905
Pr5 0.3906 0.2500 0.0564
Pr6 0.4497 0.7500 0.6231
Pr7 0.5503 0.2500 0.3769
Pr8 0.6094 0.7500 0.9436
Pr9 0.7439 0.2500 0.7095
Pr10 0.7561 0.7500 0.2095
Pr11 0.8906 0.2500 0.4436
Pr12 0.9497 0.7500 0.8769
Ir1 0.1228 0.2500 0.3709
Ir2 0.3772 0.7500 0.8709
Ir3 0.6228 0.2500 0.1291
Ir4 0.8772 0.7500 0.6291
Au1 0.0068 0.2500 0.7048
Au2 0.1908 0.7500 0.0081
Au3 0.3092 0.2500 0.5081
Au4 0.4932 0.7500 0.2048
Au5 0.5068 0.2500 0.7952
Au6 0.6908 0.7500 0.4919
Au7 0.8092 0.2500 0.9919
Au8 0.9932 0.7500 0.2952

---

4.
Material: UZnCdHg
Method: DFT, GGA-PBE
State: optimized geometry

Computed properties:
Energy relative to the elements ... 0.177 eV per atom
Magnetization ... 0.6938 μB per atom

Lattice parameters (Å, degrees): 5.0116 5.0116 5.0116 60.00 60.00 60.00
Atoms (fractional coordinates):
U1 0.0000 0.0000 0.0000
Zn1 0.2500 0.2500 0.2500
Cd1 0.5000 0.5000 0.5000
Hg1 0.7500 0.7500 0.7500

---

5.
Material: CaCdInBr5
Method: DFT, GGA-PBE
State: optimized geometry

Computed properties:
Raw formation energy ... -1.231 eV per atom
Magnetization ... 0.0000 μB per atom

Lattice parameters (Å, degrees): 7.9968 7.9968 10.5560 103.90 103.90 106.01
Atoms (fractional coordinates):
Ca1 0.0000 0.0000 0.0000
Ca2 0.0000 0.0000 0.5000
Cd1 0.3200 0.6800 0.7500
Cd2 0.6800 0.3200 0.2500
In1 0.3342 0.6658 0.2500
In2 0.6658 0.3342 0.7500
Br1 0.0828 0.6679 0.8870
Br2 0.0855 0.9145 0.2500
Br3 0.2572 0.3722 0.5529
Br4 0.3321 0.9172 0.6130
Br5 0.3722 0.2572 0.0529
Br6 0.6278 0.7428 0.9471
Br7 0.6679 0.0828 0.3870
Br8 0.7428 0.6278 0.4471
Br9 0.9145 0.0855 0.7500
Br10 0.9172 0.3321 0.1130

---

6.
Material: Li3BiSb
Method: DFT, GGA-PBE
State: optimized geometry

Computed properties:
Excess energy over the best structure of this formula in the dataset ... 0.352 eV/atom
Raw formation energy ... -0.076 eV per atom
Magnetization ... 0.0000 μB per atom

Lattice parameters (Å, degrees): 5.0888 5.0888 5.0888 90.00 90.00 90.00
Atoms (fractional coordinates):
Li1 0.0000 0.0000 0.5000
Li2 0.0000 0.5000 0.0000
Li3 0.5000 0.0000 0.0000
Bi1 0.5000 0.5000 0.5000
Sb1 0.0000 0.0000 0.0000